DFT (PBE) results for DyPu4Au5 after structural relaxation.

```
DyPu4Au5
1.0
3.556 0.000 0.000
0.000 3.556 0.000
0.000 0.000 18.886
Dy Pu Au
1 4 5
Direct
0.000 0.000 0.000 Dy
0.000 0.000 0.197 Pu
0.000 0.000 0.399 Pu
0.000 0.000 0.601 Pu
0.000 0.000 0.803 Pu
0.500 0.500 0.092 Au
0.500 0.500 0.298 Au
0.500 0.500 0.500 Au
0.500 0.500 0.702 Au
0.500 0.500 0.908 Au
```

Computed properties:
E_tot = -8.32 eV/atom
Formation energy = -489 meV/atom
Space-group type = P4/mmm (123)

***

DFT (PBE) results for Re2WBr after structural relaxation.

```
Re2WBr
1.0
-1.487 2.275 4.651
1.487 -2.275 4.651
1.487 2.275 -4.651
Re W Br
2 1 1
Direct
0.000 0.000 0.000 Re
0.749 0.249 0.500 Re
0.278 0.778 0.500 W
0.511 0.511 0.000 Br
```

Computed properties:
E_tot = -8.89 eV/atom
E_form (uncorrected) = 0.988 eV/atom
Space-group type = Imm2 (44)
Energy above the most stable polymorph in this dataset = 376 meV per atom